<P>
Computed, not measured: an optimized crystal structure of Na3VPCO7 at the GGA-PBEsol level of DFT.

Structure (extended XYZ):
```
26
Lattice="5.3149 0.0000 0.0000 0.0000 6.6209 0.0000 -0.2251 0.0000 8.7484" Properties=species:S:1:pos:R:3 pbc="T T T"
Na -0.2249 0.0000 8.7472
Na 5.3146 3.3105 0.0012
Na 2.1805 1.6566 7.3596
Na 2.5396 6.6207 4.3760
Na 2.5502 3.3102 4.3724
Na 2.9092 4.9670 1.3888
V 0.1338 4.9641 6.3256
V 4.9559 1.6537 2.4228
P -0.0157 4.9641 3.0273
P 5.1054 1.6537 5.7211
C 2.6003 1.6539 1.4841
C 2.4895 4.9643 7.2643
O 0.3049 2.8826 6.5506
O 0.3086 0.4248 6.5483
O 0.4678 1.6553 4.3300
O 1.3741 1.6554 1.0643
O 1.5149 4.9627 3.1091
O 1.4820 4.9649 8.1142
O 2.1931 4.9621 6.0157
O 2.8966 1.6517 2.7327
O 3.6077 1.6545 0.6341
O 3.5748 1.6522 5.6393
O 3.7156 4.9659 7.6841
O 4.6219 4.9658 4.4184
O 4.7811 3.7353 2.2001
O 4.7848 6.1930 2.1978
```

- magnetic moment (Bohr magnetons per cell) = 6.00

***

<Q>
Computed, not measured: an optimized crystal structure of Na3VPCO7 at the GGA-PBEsol level of DFT.

Structure (extended XYZ):
```
26
Lattice="5.1595 0.0000 0.0000 0.0000 6.6677 0.0000 -0.1931 0.0000 8.8849" Properties=species:S:1:pos:R:3 pbc="T T T"
Na 1.1686 1.6669 0.7290
Na 1.1717 3.3822 6.4461
Na 1.1717 6.6194 6.4461
Na 3.7946 0.0483 2.4388
Na 3.7946 3.2855 2.4388
Na 3.7978 5.0008 8.1559
V 1.0969 5.0008 3.0350
V 3.8694 1.6669 5.8499
P 1.3919 1.6669 3.6653
P 3.5744 5.0008 5.2196
C 1.4402 5.0008 0.5193
C 3.5262 1.6669 8.3656
O 0.2629 5.0008 1.0769
O 0.6139 1.6669 4.9960
O 1.0404 0.4307 2.7868
O 1.0404 2.9031 2.7868
O 1.3918 5.0008 8.1291
O 2.0475 5.0008 4.9208
O 2.4619 5.0008 1.3318
O 2.5044 1.6669 7.5531
O 2.9189 1.6669 3.9641
O 3.5746 1.6669 0.7557
O 3.9260 3.7646 6.0981
O 3.9260 6.2370 6.0981
O 4.3525 5.0008 3.8889
O 4.7035 1.6669 7.8080
```

- magnetic moment (Bohr magnetons per cell) = 6.00

***

Here are the energies relative to the best structure, in meV/atom: <P> 26; <Q> 0.

***

<P>
Computed, not measured: an optimized crystal structure of Nb4C3 at the GGA-PBEsol level of DFT.

Structure (extended XYZ):
```
7
Lattice="1.5655 0.9038 10.2126 -1.5655 0.9038 10.2126 0.0000 -1.8077 10.2126" Properties=species:S:1:pos:R:3 pbc="T T T"
Nb 0.0000 0.0000 0.0000
Nb 0.0000 0.0000 5.0365
Nb 0.0000 0.0000 17.7438
Nb 0.0000 0.0000 22.9426
C 0.0000 0.0000 8.8581
C 0.0000 0.0000 11.5720
C 0.0000 0.0000 26.6621
```

- magnetic moment (Bohr magnetons per cell) = 0.00

***

<Q>
Computed, not measured: an optimized crystal structure of Nb4C3 at the GGA-PBEsol level of DFT.

Structure (extended XYZ):
```
7
Lattice="1.5684 0.9055 10.1854 -1.5684 0.9055 10.1854 0.0000 -1.8110 10.1854" Properties=species:S:1:pos:R:3 pbc="T T T"
Nb 0.0000 0.0000 3.7537
Nb 0.0000 0.0000 11.4698
Nb 0.0000 0.0000 19.0863
Nb 0.0000 0.0000 26.8025
C 0.0000 0.0000 7.7254
C 0.0000 0.0000 15.2781
C 0.0000 0.0000 22.8307
```

- magnetic moment (Bohr magnetons per cell) = 0.00

***

Here are the energies relative to the best structure, in meV/atom: <P> 37; <Q> 0.

***

<P>
Computed, not measured: an optimized crystal structure of NiC3 at the GGA-PBEsol level of DFT.

Structure (extended XYZ):
```
4
Lattice="2.4911 0.0000 0.0000 -1.2456 2.1574 0.0000 0.0000 0.0000 5.1944" Properties=species:S:1:pos:R:3 pbc="T T T"
Ni 0.0000 0.0000 0.0000
C 0.0000 0.0000 2.5972
C 1.2456 0.7191 1.6435
C 1.2456 0.7191 3.5509
```

- magnetic moment (Bohr magnetons per cell) = 0.00

***

<Q>
Computed, not measured: an optimized crystal structure of NiC3 at the GGA-PBEsol level of DFT.

Structure (extended XYZ):
```
4
Lattice="3.3638 0.0000 0.0000 0.0000 2.4229 0.0000 -1.5136 0.0000 3.8319" Properties=species:S:1:pos:R:3 pbc="T T T"
Ni 0.0000 0.0000 0.0000
C -0.7568 0.0000 1.9160
C 0.2626 1.2114 1.6002
C 1.5876 1.2114 2.2317
```

- magnetic moment (Bohr magnetons per cell) = 0.00

***

Here are the energies relative to the best structure, in meV/atom: <P> 726; <Q> 0.

***

<P>
Computed, not measured: an optimized crystal structure of NiC3 at the GGA-PBEsol level of DFT.

Structure (extended XYZ):
```
4
Lattice="3.3775 0.0000 0.0000 0.0000 3.3775 0.0000 0.0000 0.0000 2.6327" Properties=species:S:1:pos:R:3 pbc="T T T"
Ni 0.0000 0.0000 0.0000
C 0.0000 1.6887 1.3164
C 1.6887 0.0000 1.3164
C 1.6887 1.6887 0.0000
```

- magnetic moment (Bohr magnetons per cell) = 0.00

***

<Q>
Computed, not measured: an optimized crystal structure of NiC3 at the GGA-PBEsol level of DFT.

Structure (extended XYZ):
```
4
Lattice="3.6847 0.0000 0.0000 0.0000 3.6847 0.0000 0.0000 0.0000 3.6847" Properties=species:S:1:pos:R:3 pbc="T T T"
Ni 0.0000 0.0000 0.0000
C 0.0000 0.0000 1.8423
C 0.0000 1.8423 0.0000
C 1.8423 0.0000 0.0000
```

- magnetic moment (Bohr magnetons per cell) = 1.77

***

<R>
Computed, not measured: an optimized crystal structure of NiC3 at the GGA-PBEsol level of DFT.

Structure (extended XYZ):
```
4
Lattice="-1.2482 1.8032 3.6749 1.2482 -1.8032 3.6749 1.2482 1.8032 -3.6749" Properties=species:S:1:pos:R:3 pbc="T T T"
Ni 0.0000 0.0000 0.0000
C 1.2482 0.0000 2.7108
C 0.0000 0.0000 3.6749
C 0.0000 1.8032 0.9641
```

- magnetic moment (Bohr magnetons per cell) = 0.00

***

Here are the energies relative to the best structure, in meV/atom: <P> 980; <Q> 1349; <R> 0.

***

<P>
Computed, not measured: an optimized crystal structure of Pd2CO at the GGA-PBEsol level of DFT.

Structure (extended XYZ):
```
8
Lattice="-2.2780 2.2780 4.9824 2.2780 -2.2780 4.9824 2.2780 2.2780 -4.9824" Properties=species:S:1:pos:R:3 pbc="T T T"
Pd 3.4170 0.9596 -1.2456
Pd 0.9596 1.1390 1.2456
Pd -1.1390 1.3184 3.7368
Pd 1.3184 1.1390 6.2280
C 0.0000 0.0000 0.0000
C 0.0000 2.2780 2.4912
O 2.2780 0.0000 2.4912
O 0.0000 0.0000 4.9824
```

- magnetic moment (Bohr magnetons per cell) = 0.00

***

<Q>
Computed, not measured: an optimized crystal structure of Pd2CO at the GGA-PBEsol level of DFT.

Structure (extended XYZ):
```
4
Lattice="0.0000 2.7290 2.7290 2.7290 0.0000 2.7290 2.7290 2.7290 0.0000" Properties=species:S:1:pos:R:3 pbc="T T T"
Pd 1.3645 1.3645 1.3645
Pd 4.0935 4.0935 4.0935
C 0.0000 0.0000 0.0000
O 2.7290 2.7290 2.7290
```

- magnetic moment (Bohr magnetons per cell) = 0.01

***

Here are the energies relative to the best structure, in meV/atom: <P> 0; <Q> 439.

***

<P>
Computed, not measured: an optimized crystal structure of Rb4CO4 at the GGA-PBEsol level of DFT.

Structure (extended XYZ):
```
9
Lattice="3.9459 2.2781 3.2729 -3.9459 2.2781 3.2729 0.0000 -4.5563 3.2729" Properties=species:S:1:pos:R:3 pbc="T T T"
Rb 0.0000 0.0000 0.0000
Rb 0.0000 -2.5510 6.1111
Rb -2.2093 1.2755 6.1111
Rb 2.2093 1.2755 6.1111
C 0.0000 0.0000 7.0860
O -1.1749 -0.6784 7.5633
O 0.0000 0.0000 5.6452
O 1.1749 -0.6784 7.5633
O 0.0000 1.3567 7.5633
```

- magnetic moment (Bohr magnetons per cell) = 0.05

***

<Q>
Computed, not measured: an optimized crystal structure of Rb4CO4 at the GGA-PBEsol level of DFT.

Structure (extended XYZ):
```
9
Lattice="-2.6519 3.3036 5.1067 2.6519 -3.3036 5.1067 2.6519 3.3036 -5.1067" Properties=species:S:1:pos:R:3 pbc="T T T"
Rb 1.8158 -1.6573 3.6203
Rb 0.8361 1.6463 1.4864
Rb 0.8361 4.9608 -1.4864
Rb 1.8158 1.6573 6.5931
C 2.6519 0.0000 0.0000
O 1.8380 0.8205 -0.8493
O 3.4659 0.8205 0.8493
O 0.8139 2.4830 4.2574
O -0.8139 2.4830 5.9560
```

- magnetic moment (Bohr magnetons per cell) = 0.00

***

Here are the energies relative to the best structure, in meV/atom: <P> 73; <Q> 0.

***

<P>
Computed, not measured: an optimized crystal structure of TlCO2 at the GGA-PBEsol level of DFT.

Structure (extended XYZ):
```
8
Lattice="0.0000 3.6591 3.6591 3.6591 0.0000 3.6591 3.6591 3.6591 0.0000" Properties=species:S:1:pos:R:3 pbc="T T T"
Tl 0.9148 0.9148 0.9148
Tl 6.4034 6.4034 6.4034
C 2.7443 2.7443 2.7443
C 4.5738 4.5738 4.5738
O 3.6591 1.8295 1.8295
O 1.8295 3.6591 1.8295
O 1.8295 1.8295 3.6591
O 3.6591 3.6591 3.6591
```

- magnetic moment (Bohr magnetons per cell) = 0.00

***

<Q>
Computed, not measured: an optimized crystal structure of TlCO2 at the GGA-PBEsol level of DFT.

Structure (extended XYZ):
```
16
Lattice="6.5314 0.0000 0.0000 0.0000 5.7430 0.0000 -0.9075 0.0000 6.6427" Properties=species:S:1:pos:R:3 pbc="T T T"
Tl 0.8924 0.3481 2.1192
Tl 0.4387 2.5234 5.4405
Tl 5.1852 3.2196 1.2022
Tl 4.7314 5.3949 4.5236
C 2.3984 3.4345 2.9796
C 1.9446 5.1800 6.3010
C 3.6792 0.5630 0.3417
C 3.2255 2.3085 3.6631
O 1.1360 3.3494 3.0277
O 0.6822 5.2651 6.3491
O 2.5817 1.3665 4.2211
O 3.0354 1.5050 0.8997
O 2.5884 4.2380 5.7430
O 3.0422 4.3765 2.4217
O 4.9416 0.4779 0.2936
O 4.4879 2.3936 3.6150
```

- magnetic moment (Bohr magnetons per cell) = 0.00

***

Here are the energies relative to the best structure, in meV/atom: <P> 1252; <Q> 0.

***

<P>
Computed, not measured: an optimized crystal structure of Os4C3 at the GGA-PBEsol level of DFT.

Structure (extended XYZ):
```
7
Lattice="-1.3666 1.3666 9.7636 1.3666 -1.3666 9.7636 1.3666 1.3666 -9.7636" Properties=species:S:1:pos:R:3 pbc="T T T"
Os 0.0000 0.0000 1.2771
Os 0.0000 0.0000 6.3922
Os 0.0000 0.0000 13.1349
Os 0.0000 0.0000 18.2500
C 0.0000 0.0000 4.2329
C 0.0000 0.0000 9.7636
C 0.0000 0.0000 15.2942
```

- magnetic moment (Bohr magnetons per cell) = 0.00

***

<Q>
Computed, not measured: an optimized crystal structure of Os4C3 at the GGA-PBEsol level of DFT.

Structure (extended XYZ):
```
7
Lattice="4.2378 0.0000 0.0000 0.0000 4.2378 0.0000 0.0000 0.0000 4.2378" Properties=species:S:1:pos:R:3 pbc="T T T"
Os 0.0000 0.0000 0.0000
Os 0.0000 2.1189 2.1189
Os 2.1189 0.0000 2.1189
Os 2.1189 2.1189 0.0000
C 0.0000 0.0000 2.1189
C 0.0000 2.1189 0.0000
C 2.1189 0.0000 0.0000
```

- magnetic moment (Bohr magnetons per cell) = 0.00

***

Here are the energies relative to the best structure, in meV/atom: <P> 0; <Q> 192.